{"formula": "YHo2Ni2B2As3", "functional": "PBE", "state": "optimized geometry", "lattice": [[-10.286, -4.554, 0.801], [-10.751, 0.482, 3.374], [9.797, 3.231, -4.558]], "species": ["Y", "Ho", "Ho", "Ni", "Ni", "B", "B", "As", "As", "As"], "frac_coords": [[0.000, 0.000, 0.000], [0.358, 0.358, 0.000], [0.642, 0.642, 0.000], [0.250, 0.750, 0.500], [0.750, 0.250, 0.500], [0.776, 0.776, 0.000], [0.224, 0.224, 0.000], [0.500, 0.500, 0.000], [0.871, 0.871, 0.000], [0.129, 0.129, 0.000]]}


{"formula": "CuI", "functional": "PBE", "state": "optimized geometry", "lattice": [[4.612, 0.000, 0.000], [-2.306, 3.994, 0.000], [0.000, 0.000, 4.810]], "species": ["I", "Cu"], "frac_coords": [[0.000, 0.000, 0.085], [0.000, 0.000, 0.585]]}


{"formula": "RbCoAs2Ir", "functional": "PBE", "state": "optimized geometry", "lattice": [[-1.729, -7.375, 1.454], [0.260, -4.862, 5.982], [-1.839, 6.863, -3.000]], "species": ["Rb", "Ir", "As", "As", "Co"], "frac_coords": [[0.750, 0.250, 0.500], [0.500, 0.500, 0.000], [0.403, 0.903, 0.500], [0.097, 0.597, 0.500], [0.000, 0.000, 0.000]]}


{"formula": "NaNbTcAs", "functional": "PBE", "state": "optimized geometry", "lattice": [[4.090, -0.065, 1.949], [0.488, 1.376, 4.290], [0.909, -3.016, 3.257]], "species": ["Tc", "As", "Na", "Nb"], "frac_coords": [[0.000, 0.000, 0.000], [0.500, 0.500, 0.500], [0.750, 0.750, 0.750], [0.250, 0.250, 0.250]], "polymorph_energy_ev_per_fu": 0.64}


{"formula": "NbCoBi", "functional": "PBE", "state": "optimized geometry", "lattice": [[6.585, 0.000, 0.000], [0.000, 3.873, 0.000], [0.000, 0.000, 8.642]], "species": ["Bi", "Bi", "Bi", "Bi", "Co", "Co", "Co", "Co", "Nb", "Nb", "Nb", "Nb"], "frac_coords": [[0.160, 0.750, 0.604], [0.840, 0.250, 0.396], [0.660, 0.750, 0.896], [0.340, 0.250, 0.104], [0.248, 0.750, 0.900], [0.752, 0.250, 0.100], [0.252, 0.250, 0.400], [0.748, 0.750, 0.600], [0.993, 0.750, 0.146], [0.507, 0.250, 0.646], [0.007, 0.250, 0.854], [0.493, 0.750, 0.354]]}


{"formula": "GdCuSi2Ir", "functional": "PBE", "state": "optimized geometry", "lattice": [[1.129, -5.607, -0.707], [-0.907, -3.722, 4.306], [-2.789, 4.243, -2.728]], "species": ["Ir", "Gd", "Si", "Si", "Cu"], "frac_coords": [[0.750, 0.250, 0.500], [0.000, 0.000, 0.000], [0.381, 0.381, 0.000], [0.619, 0.619, 0.000], [0.250, 0.750, 0.500]]}


| no. | calculated total energy (eV/atom) |
| --- | --- |
| 1 | -6.20 |
| 2 | -2.36 |
| 3 | -5.66 |
| 4 | -6.32 |
| 5 | -6.85 |
| 6 | -6.39 |